Material: RbMgGa3
Method: DFT, PBE
State: relaxed

```
RbMgGa3
1.0
-4.044 -1.721 -3.984
3.428 -4.606 -1.490
-2.661 -3.318 4.135
Rb Ga Mg
1 3 1
direct
0.000 0.000 0.000
0.000 0.500 0.000
0.500 0.000 0.000
0.000 0.000 0.500
0.500 0.500 0.500
```

Summary:
D(E_F) (states/eV per cell): 7.26
ΔH_f (0 K) (eV/atom): 1.14
Crystal system: cubic
Offset from the most stable computed form (meV/atom): 886

---

Material: Rb2CaZn2Se4
Method: DFT, PBE
State: relaxed

```
Rb2CaZn2Se4
1.0
-1.209 -3.707 -1.552
5.908 -3.720 4.284
-6.079 2.166 5.237
Se Zn Rb Ca
4 2 2 1
direct
0.794 0.834 0.588
0.206 0.166 0.412
0.524 0.767 0.048
0.476 0.233 0.952
0.671 0.975 0.342
0.329 0.025 0.658
0.874 0.454 0.747
0.126 0.546 0.253
0.000 0.000 0.000
```

Summary:
D(E_F) (states/eV per cell): 0.00
E_form (uncorrected) (eV per atom): -1.189
Crystal system: monoclinic

---

Material: PuUMn2S8
Method: DFT, PBE
State: relaxed

```
PuUMn2S8
1.0
6.289 0.000 0.000
0.000 6.289 0.000
-3.145 -3.145 6.330
S Mn Pu U
8 2 1 1
direct
0.348 0.945 0.343
0.994 0.397 0.343
0.416 0.307 0.164
0.143 0.584 0.836
0.055 0.006 0.657
0.693 0.252 0.836
0.603 0.652 0.657
0.748 0.857 0.164
0.250 0.750 0.500
0.500 0.500 0.000
0.000 0.000 0.000
0.750 0.250 0.500
```

Summary:
D(E_F) (states/eV per cell): 11.28
E_form (uncorrected) (eV per atom): -0.809
Crystal system: tetragonal

---

Material: ZrNiBr2
Method: DFT, PBE
State: relaxed

```
ZrNiBr2
1.0
3.749 -0.005 0.031
1.879 3.244 0.031
1.635 0.941 8.416
Zr Br Ni
1 2 1
direct
0.226 0.226 0.316
0.799 0.799 0.626
0.962 0.962 0.088
0.513 0.513 0.470
```

Summary:
E_form (uncorrected) (eV per atom): -0.703
Crystal system: monoclinic
Offset from the most stable computed form (meV/atom): 0

---

Material: CsPb3S
Method: DFT, PBE
State: relaxed

```
CsPb3S
1.0
6.352 0.000 0.000
0.000 6.352 0.000
0.000 0.000 6.352
S Pb Cs
1 3 1
direct
0.500 0.500 0.500
0.000 0.500 0.000
0.000 0.000 0.500
0.500 0.000 0.000
0.000 0.000 0.000
```

Summary:
D(E_F) (states/eV per cell): 7.07
E_form (uncorrected) (eV per atom): 1.491
Crystal system: cubic
Offset from the most stable computed form (meV/atom): 1473

---

Material: Na2ZrTiTe4
Method: DFT, PBE
State: relaxed

```
Na2ZrTiTe4
1.0
4.068 0.000 0.000
0.000 7.078 0.115
0.000 -2.465 7.709
Na Zr Ti Te
2 1 1 4
direct
0.500 0.000 0.500
0.000 0.500 0.500
0.000 0.000 0.000
0.500 0.500 0.000
0.500 0.752 0.778
0.500 0.248 0.222
0.000 0.268 0.783
0.000 0.732 0.217
```

Summary:
D(E_F) (states/eV per cell): 4.29
E_form (uncorrected) (eV per atom): -0.846
Crystal system: monoclinic

---

Material: Dy7Er4Th
Method: DFT, PBE
State: relaxed

```
Dy7Er4Th
1.0
6.346 -1.822 2.690
0.700 5.707 2.220
2.814 -2.280 10.729
Er Dy Th
4 7 1
direct
0.163 0.222 0.337
0.837 0.778 0.663
0.418 0.725 0.332
0.582 0.275 0.668
0.331 0.780 0.668
0.669 0.220 0.332
0.753 0.500 0.000
0.083 0.276 0.667
0.917 0.724 0.333
0.500 0.000 0.000
0.247 0.500 0.000
0.000 0.000 0.000
```

Summary:
D(E_F) (states/eV per cell): 17.28
ΔH_f (0 K) (eV/atom): 0.00
Crystal system: triclinic
Offset from the most stable computed form (meV/atom): 0

---

Material: PrMgSe3
Method: DFT, PBE
State: relaxed

```
PrMgSe3
1.0
-7.282 -1.051 -0.131
-2.852 -6.297 2.524
-3.822 -0.046 6.288
Se Mg Pr
6 2 2
direct
0.217 0.959 0.567
0.041 0.433 0.783
0.567 0.217 0.959
0.783 0.041 0.433
0.959 0.567 0.217
0.433 0.783 0.041
0.153 0.153 0.153
0.847 0.847 0.847
0.357 0.357 0.357
0.643 0.643 0.643
```

Summary:
D(E_F) (states/eV per cell): 10.04
E_form (uncorrected) (eV per atom): -1.207
Crystal system: trigonal
Offset from the most stable computed form (meV/atom): 0

---

Material: KZn2TcO6
Method: DFT, PBE
State: relaxed

```
KZn2TcO6
1.0
6.842 -0.019 -0.020
2.230 6.983 -0.523
2.230 -0.781 6.959
O Zn Tc K
12 4 2 2
direct
0.537 0.552 0.689
0.463 0.448 0.311
0.526 0.837 0.372
0.817 0.036 0.198
0.037 0.689 0.552
0.974 0.628 0.163
0.183 0.964 0.802
0.026 0.372 0.837
0.963 0.311 0.448
0.683 0.802 0.964
0.317 0.198 0.036
0.474 0.163 0.628
0.698 0.351 0.401
0.198 0.401 0.351
0.802 0.599 0.649
0.302 0.649 0.599
0.250 0.175 0.825
0.750 0.825 0.175
0.250 0.822 0.178
0.750 0.178 0.822
```

Summary:
E_form (uncorrected) (eV per atom): -1.365
Crystal system: monoclinic

---

Material: TcPICl2
Method: DFT, PBE
State: relaxed

```
TcPICl2
1.0
4.791 0.000 0.000
0.000 4.791 0.000
0.000 0.000 4.809
Cl Tc I P
2 1 1 1
direct
0.000 0.500 0.000
0.500 0.000 0.000
0.000 0.000 0.000
0.500 0.500 0.500
0.000 0.000 0.500
```

Summary:
D(E_F) (states/eV per cell): 3.94
E_form (uncorrected) (eV per atom): 0.174
Crystal system: tetragonal
Offset from the most stable computed form (meV/atom): 0

---

Material: MgAgRu2
Method: DFT, PBE
State: relaxed

```
MgAgRu2
1.0
-4.122 1.613 1.447
-0.868 -2.638 3.738
3.850 2.460 -0.904
Mg Ag Ru
1 1 2
direct
0.750 0.250 0.500
0.500 0.500 0.000
0.000 0.000 0.000
0.250 0.750 0.500
```

Summary:
D(E_F) (states/eV per cell): 3.56
ΔH_f (0 K) (eV/atom): 0.27
Crystal system: tetragonal

---

Material: Zr2HS2
Method: DFT, PBE
State: relaxed

```
Zr2HS2
1.0
-2.756 0.197 1.799
1.918 -0.254 5.986
-0.772 8.056 0.956
Zr H S
4 2 4
direct
0.359 0.116 0.165
0.641 0.884 0.835
0.079 0.263 0.578
0.921 0.737 0.422
0.315 0.968 0.401
0.685 0.032 0.599
0.637 0.391 0.335
0.939 0.215 0.906
0.061 0.785 0.094
0.363 0.609 0.665
```

Summary:
D(E_F) (states/eV per cell): 4.10
Crystal system: monoclinic
Total DFT energy (no corrections) (eV per formula unit): -34.54

---

> Which formula does entry 11 have?

MgAgRu2